Ac3ZnN, optimized geometry, DFT GGA-PBE; energy relative to the elements, uncorrected = -0.464 eV/atom; polymorph energy (0 for the lowest one) = 52 meV/atom; total energy = -24.2 eV per cell; magnetization = 0.00 μB/cell
1.0
-0.8134 2.4644 4.6409
-5.0166 1.0333 -1.4280
-1.5637 -4.5970 2.1670
N Zn Ac
1 1 3
Cartesian
0.0000 0.0000 0.0000
-3.6969 -0.5496 2.6900
-0.4067 1.2322 2.3205
-0.7819 -2.2985 1.0835
-2.5083 0.5167 -0.7140